LaAl6 after structural relaxation. Source: Alexandria via LeMat-Bulk, functional PBE.

```
data_LaAl6
_chemical_formula_sum 'La1 Al6'
_cell_length_a 6.185
_cell_length_b 6.185
_cell_length_c 6.185
_cell_angle_alpha 109.47
_cell_angle_beta 109.47
_cell_angle_gamma 109.47
_symmetry_space_group_name_H-M 'P 1'
_symmetry_Int_Tables_number 1
loop_
_symmetry_equiv_pos_as_xyz
'x,y,z'
loop_
_atom_site_label
_atom_site_fract_x
_atom_site_fract_y
_atom_site_fract_z
La1 0.000 0.000 0.000
Al1 0.250 0.500 0.750
Al2 0.250 0.750 0.500
Al3 0.500 0.250 0.750
Al4 0.500 0.750 0.250
Al5 0.750 0.250 0.500
Al6 0.750 0.500 0.250
```

Computed properties:
Crystal system: cubic
SG: No. 229
Volume in Å³/f.u.: 182.1
VASP energy in eV/atom: -3.610